# BaAg2Rh2, single point on PBEsol structure, DFT SCAN
# * DOS at the Fermi energy: 9.65 states/eV/cell
# * E_tot: -33.70 eV/atom
data_BaAg2Rh2
_chemical_formula_sum 'Ba2 Ag4 Rh4'
_cell_length_a 4.1412
_cell_length_b 4.1412
_cell_length_c 12.1719
_cell_angle_alpha 90.00
_cell_angle_beta 90.00
_cell_angle_gamma 90.00
_symmetry_space_group_name_H-M 'I 4/m m m'
_symmetry_Int_Tables_number 139
_symmetry_space_group_name_Hall '-I 4 2'
loop_
_atom_site_label
_atom_site_fract_x
_atom_site_fract_y
_atom_site_fract_z
Ba1 0.0000 0.0000 0.0000
Ag1 0.0000 0.0000 0.3878
Rh1 0.0000 0.5000 0.2500